NpSnGe | PBE-GGA | relaxed

Cell: 4.818 4.818 4.818 Å, 60.00 60.00 60.00°
Atoms (fractional coordinates):
Np 0.000 0.000 0.000
Sn 0.250 0.250 0.250
Ge 0.750 0.750 0.750

Volume (A^3/atom): 26.37
Calculated total energy (eV/cell): -20.4

YInPd | PBE-GGA | relaxed

Cell: 4.836 4.836 4.836 Å, 60.00 60.00 60.00°
Atoms (fractional coordinates):
Y 0.000 0.000 0.000
In 0.750 0.750 0.750
Pd 0.250 0.250 0.250

Volume (A^3/atom): 26.65
Calculated total energy (eV/cell): -14.6

In8Ni2S | PBE-GGA | relaxed

Cell: 9.909 9.909 10.027 Å, 90.00 90.00 90.00°
Atoms (fractional coordinates):
In 0.000 0.000 0.164
In 0.000 0.000 0.836
In 0.053 0.297 0.299
In 0.053 0.297 0.701
In 0.096 0.904 0.500
In 0.189 0.811 0.000
In 0.200 0.200 0.000
In 0.203 0.553 0.201
In 0.203 0.553 0.799
In 0.297 0.053 0.299
In 0.297 0.053 0.701
In 0.300 0.700 0.500
In 0.311 0.311 0.500
In 0.404 0.404 0.000
In 0.447 0.797 0.201
In 0.447 0.797 0.799
In 0.500 0.500 0.336
In 0.500 0.500 0.664
In 0.553 0.203 0.201
In 0.553 0.203 0.799
In 0.596 0.596 0.000
In 0.689 0.689 0.500
In 0.700 0.300 0.500
In 0.703 0.947 0.299
In 0.703 0.947 0.701
In 0.797 0.447 0.201
In 0.797 0.447 0.799
In 0.800 0.800 0.000
In 0.811 0.189 0.000
In 0.904 0.096 0.500
In 0.947 0.703 0.299
In 0.947 0.703 0.701
Ni 0.186 0.814 0.260
Ni 0.186 0.814 0.740
Ni 0.314 0.314 0.240
Ni 0.314 0.314 0.760
Ni 0.686 0.686 0.240
Ni 0.686 0.686 0.760
Ni 0.814 0.186 0.260
Ni 0.814 0.186 0.740
S 0.000 0.500 0.000
S 0.000 0.500 0.500
S 0.500 0.000 0.000
S 0.500 0.000 0.500

Volume (A^3/atom): 22.38
Calculated total energy (eV/cell): -152.9

Co2W | PBE-GGA | relaxed

Cell: 4.765 4.765 15.459 Å, 90.00 90.00 120.00°
Atoms (fractional coordinates):
Co 0.000 0.500 0.000
Co 0.000 0.500 0.500
Co 0.157 0.313 0.250
Co 0.157 0.843 0.250
Co 0.313 0.157 0.750
Co 0.333 0.667 0.655
Co 0.333 0.667 0.845
Co 0.500 0.000 0.000
Co 0.500 0.000 0.500
Co 0.500 0.500 0.000
Co 0.500 0.500 0.500
Co 0.667 0.333 0.155
Co 0.667 0.333 0.345
Co 0.687 0.843 0.250
Co 0.843 0.157 0.750
Co 0.843 0.687 0.750
W 0.000 0.000 0.088
W 0.000 0.000 0.412
W 0.000 0.000 0.588
W 0.000 0.000 0.912
W 0.333 0.667 0.130
W 0.333 0.667 0.370
W 0.667 0.333 0.630
W 0.667 0.333 0.870

ΔE_f (eV per atom): 0.20
Volume (A^3/atom): 12.67

YTm2Ni9 | PBE-GGA | relaxed

Cell: 8.524 8.524 8.524 Å, 33.60 33.60 33.60°
Atoms (fractional coordinates):
Y 0.000 0.000 0.000
Tm 0.140 0.140 0.140
Tm 0.860 0.860 0.860
Ni 0.081 0.584 0.584
Ni 0.333 0.333 0.333
Ni 0.416 0.416 0.919
Ni 0.416 0.919 0.416
Ni 0.500 0.500 0.500
Ni 0.584 0.081 0.584
Ni 0.584 0.584 0.081
Ni 0.667 0.667 0.667
Ni 0.919 0.416 0.416

ΔE_f (eV per atom): -0.44
Volume (A^3/atom): 14.08

LiYFeB | PBE-GGA | relaxed

Cell: 4.288 4.288 4.288 Å, 60.00 60.00 60.00°
Atoms (fractional coordinates):
Li 0.000 0.000 0.000
Y 0.250 0.250 0.250
Fe 0.750 0.750 0.750
B 0.500 0.500 0.500

Volume (A^3/atom): 13.94
Calculated total energy (eV/cell): -22.2

- Among the records above, which one has the highest volume?
  YInPd

- Among the records above, which one has the highest volume?
  YInPd